The following is a DFT calculation (GGA-PBE) of NbCr2GeB after structural relaxation.

Geometry as CIF:
```
data_NbCr2GeB
_cell_length_a 4.4925
_cell_length_b 4.4925
_cell_length_c 4.9575
_cell_angle_alpha 90.00
_cell_angle_beta 90.00
_cell_angle_gamma 90.00
_symmetry_space_group_name_H-M 'P 4/m m m'
_symmetry_Int_Tables_number 123
_symmetry_space_group_name_Hall '-P 4 2'
loop_
_atom_site_label
_atom_site_type_symbol
_atom_site_fract_x
_atom_site_fract_y
_atom_site_fract_z
Nb1 Nb 0.0000 0.0000 0.0000
Cr1 Cr 0.0000 0.5000 0.0000
Ge1 Ge 0.0000 0.0000 0.5000
B1 B 0.5000 0.5000 0.5000
```

Properties
**E**: -5.77 eV/atom
**Energy of formation from the pure elements**: 2353 meV per atom

=====

The following is a DFT calculation (GGA-PBE) of Li2In2I7 after structural relaxation.

Geometry as CIF:
```
data_Li2In2I7
_cell_length_a 12.3414
_cell_length_b 11.6995
_cell_length_c 8.0222
_cell_angle_alpha 90.00
_cell_angle_beta 120.48
_cell_angle_gamma 90.00
_symmetry_space_group_name_H-M 'C 1 2/m 1'
_symmetry_Int_Tables_number 12
_symmetry_space_group_name_Hall '-C 2y'
loop_
_atom_site_label
_atom_site_type_symbol
_atom_site_fract_x
_atom_site_fract_y
_atom_site_fract_z
Li1 Li 0.0000 0.1744 0.0000
In1 In 0.1964 0.5000 0.3961
I1 I 0.0000 0.5000 0.5000
I2 I 0.0484 0.0000 0.2783
I3 I 0.2126 0.3116 0.1859
```

Properties
**Uncorrected formation energy**: -0.68 eV/atom
**E**: -2.51 eV/atom